The following is a PBE-GGA calculation of a relaxed structure of Pa2Tl, from the Alexandria database.

Geometry as POSCAR:
```
Pa2Tl
1.0
6.062 0.000 0.000
3.031 5.250 0.000
3.031 1.750 4.950
Tl Pa
2 4
direct
0.000 0.000 0.000
0.250 0.250 0.250
0.125 0.625 0.625
0.625 0.125 0.625
0.625 0.625 0.625
0.625 0.625 0.125
```

Output
ΔE to the lowest computed polymorph = 0.074 eV/f.u.
Space-group type = Fd-3m, No. 227
ρ = 14.0 g cm⁻³
Energy of formation = 0.35 eV/atom

The following is a PBE-GGA calculation of a relaxed structure of Mg3ScPb, from the Alexandria database.

Geometry as POSCAR:
```
Mg3ScPb
1.0
5.542 0.000 0.000
0.000 5.542 0.000
0.000 0.000 5.542
Pb Sc Mg
1 1 3
direct
0.500 0.500 0.500
0.000 0.000 0.000
0.000 0.500 0.000
0.000 0.000 0.500
0.500 0.000 0.000
```

Output
ΔE to the lowest computed polymorph = 1.279 eV/f.u.
Space-group type = Pm-3m, No. 221
ρ = 3.2 g cm⁻³
Energy of formation = 0.82 eV/atom

The following is a PBE-GGA calculation of a relaxed structure of Hf2ZrPa, from the Alexandria database.

Geometry as POSCAR:
```
Hf2ZrPa
1.0
3.133 0.000 0.000
0.000 3.133 0.000
0.000 0.000 9.485
Pa Hf Zr
1 2 1
direct
0.500 0.500 0.000
0.000 0.000 0.744
0.000 0.000 0.256
0.500 0.500 0.500
```

Output
ΔE to the lowest computed polymorph = 0.123 eV/f.u.
Space-group type = P4/mmm, No. 123
ρ = 12.1 g cm⁻³
Energy of formation = 0.07 eV/atom

The following is a PBE-GGA calculation of a relaxed structure of LiInPS4, from the Alexandria database.

Geometry as POSCAR:
```
LiInPS4
1.0
7.582 0.000 0.000
3.791 6.315 -0.064
3.791 1.863 6.034
Li In P S
2 2 2 8
direct
0.500 0.000 0.500
0.000 0.000 0.500
0.000 0.000 0.000
0.000 0.500 0.500
0.620 0.630 0.130
0.380 0.370 0.870
0.726 0.755 0.793
0.274 0.707 0.745
0.726 0.293 0.255
0.274 0.245 0.207
0.233 0.756 0.256
0.754 0.756 0.256
0.246 0.244 0.744
0.767 0.244 0.744
```

Output
Space-group type = Imma, No. 74
ρ = 3.2 g cm⁻³
E_tot = -4.21 eV per atom

Repeat the second record exactly.
The following is a PBE-GGA calculation of a relaxed structure of Mg3ScPb, from the Alexandria database.

Geometry as POSCAR:
```
Mg3ScPb
1.0
5.542 0.000 0.000
0.000 5.542 0.000
0.000 0.000 5.542
Pb Sc Mg
1 1 3
direct
0.500 0.500 0.500
0.000 0.000 0.000
0.000 0.500 0.000
0.000 0.000 0.500
0.500 0.000 0.000
```

Output
ΔE to the lowest computed polymorph = 1.279 eV/f.u.
Space-group type = Pm-3m, No. 221
ρ = 3.2 g cm⁻³
Energy of formation = 0.82 eV/atom